The following is a DFT calculation (GGA-PBE) of crystalline Rb3AgSe4 at its relaxed geometry.

```
Rb3AgSe4
1.0
5.4752 0.0000 0.0000
0.0000 5.7447 0.0000
0.0000 0.0000 18.0580
Rb Ag Se
6 2 8
direct
0.0000 0.0000 0.0000 Rb
0.0000 0.5000 0.1972 Rb
0.0000 0.5000 0.8028 Rb
0.5000 0.0000 0.3028 Rb
0.5000 0.0000 0.6972 Rb
0.5000 0.5000 0.5000 Rb
0.0000 0.0000 0.5000 Ag
0.5000 0.5000 0.0000 Ag
0.0000 0.2705 0.3821 Se
0.0000 0.2705 0.6179 Se
0.0000 0.7295 0.3821 Se
0.0000 0.7295 0.6179 Se
0.5000 0.2295 0.1179 Se
0.5000 0.2295 0.8821 Se
0.5000 0.7705 0.1179 Se
0.5000 0.7705 0.8821 Se
```

**Theoretical density**: 3.98 Mg/m³
**Crystal system**: orthorhombic
**Formation energy from raw total energies**: -69 kJ per mole of atoms
**M_tot**: 0.0 μB per formula unit
**Raw total energy**: -3.179 eV/atom



The following is a DFT calculation (GGA-PBE) of crystalline ThGa3TcNi at its relaxed geometry.

```
ThGa3TcNi
1.0
3.6005 -5.3558 0.0000
3.6005 5.3558 0.0000
0.0000 0.0000 5.9751
Th Ga Tc Ni
2 6 2 2
direct
0.2098 0.7902 0.7500 Th
0.7902 0.2098 0.2500 Th
0.2531 0.2531 0.0000 Ga
0.2531 0.2531 0.5000 Ga
0.3189 0.6811 0.2500 Ga
0.6811 0.3189 0.7500 Ga
0.7469 0.7469 0.0000 Ga
0.7469 0.7469 0.5000 Ga
0.0901 0.9099 0.2500 Tc
0.9099 0.0901 0.7500 Tc
0.4524 0.5476 0.7500 Ni
0.5476 0.4524 0.2500 Ni
```

**Theoretical density**: 8.62 Mg/m³
**Crystal system**: orthorhombic
**M_tot**: 0.0 μB per formula unit
**Energy of formation from the pure elements**: -0.2258 eV/atom
**Raw total energy**: -5.667 eV/atom



The following is a DFT calculation (GGA-PBE) of crystalline MnCd2Pb at its relaxed geometry.

```
MnCd2Pb
1.0
3.2033 0.0000 0.0000
-1.6016 2.7741 0.0000
0.0000 0.0000 31.0561
Mn Cd Pb
3 6 3
direct
0.0000 0.0000 0.0000 Mn
0.3333 0.6667 0.6667 Mn
0.6667 0.3333 0.3333 Mn
0.0000 0.0000 0.2623 Cd
0.0000 0.0000 0.7377 Cd
0.3333 0.6667 0.4044 Cd
0.3333 0.6667 0.9290 Cd
0.6667 0.3333 0.0710 Cd
0.6667 0.3333 0.5956 Cd
0.0000 0.0000 0.5000 Pb
0.3333 0.6667 0.1667 Pb
0.6667 0.3333 0.8333 Pb
```

**Theoretical density**: 8.79 Mg/m³
**Crystal system**: trigonal
**M_tot**: 3.6 μB per formula unit
**Energy of formation from the pure elements**: 0.2528 eV/atom
**Raw total energy**: -3.424 eV/atom



The following is a DFT calculation (GGA-PBE) of crystalline Gd2AgRh at its relaxed geometry.

```
Gd2AgRh
1.0
7.1278 0.0000 0.0000
0.0000 7.1278 0.0000
0.0000 0.0000 7.1278
Gd Ag Rh
8 4 4
direct
0.2500 0.2500 0.2500 Gd
0.2500 0.2500 0.7500 Gd
0.2500 0.7500 0.2500 Gd
0.2500 0.7500 0.7500 Gd
0.7500 0.2500 0.2500 Gd
0.7500 0.2500 0.7500 Gd
0.7500 0.7500 0.2500 Gd
0.7500 0.7500 0.7500 Gd
0.0000 0.0000 0.0000 Ag
0.0000 0.5000 0.5000 Ag
0.5000 0.0000 0.5000 Ag
0.5000 0.5000 0.0000 Ag
0.0000 0.0000 0.5000 Rh
0.0000 0.5000 0.0000 Rh
0.5000 0.0000 0.0000 Rh
0.5000 0.5000 0.5000 Rh
```

**Theoretical density**: 9.63 Mg/m³
**Crystal system**: cubic
**M_tot**: 14.4 μB per formula unit
**Energy of formation from the pure elements**: -0.5253 eV/atom
**Raw total energy**: -10.116 eV/atom



The following is a DFT calculation (GGA-PBE) of crystalline Ni9Ge2Mo at its relaxed geometry.

```
Ni9Ge2Mo
1.0
3.5953 0.0000 0.0000
0.0000 3.5953 0.0000
0.0000 0.0000 10.8112
Ni Ge Mo
9 2 1
direct
0.0000 0.0000 0.0000 Ni
0.0000 0.0000 0.3332 Ni
0.0000 0.0000 0.6668 Ni
0.0000 0.5000 0.1669 Ni
0.0000 0.5000 0.5000 Ni
0.0000 0.5000 0.8331 Ni
0.5000 0.0000 0.1669 Ni
0.5000 0.0000 0.5000 Ni
0.5000 0.0000 0.8331 Ni
0.5000 0.5000 0.3389 Ge
0.5000 0.5000 0.6611 Ge
0.5000 0.5000 0.0000 Mo
```

**Theoretical density**: 9.14 Mg/m³
**Crystal system**: tetragonal
**M_tot**: 0.0 μB per formula unit
**Energy of formation from the pure elements**: -0.1887 eV/atom
**Raw total energy**: -6.197 eV/atom



The following is a DFT calculation (GGA-PBE) of crystalline BaZn2SO2 at its relaxed geometry.

```
BaZn2SO2
1.0
6.3156 0.0000 0.0000
0.0000 5.2992 0.0000
-2.3585 0.0000 7.2309
Ba Zn S O
2 4 2 4
direct
0.1649 0.2500 0.3488 Ba
0.8351 0.7500 0.6512 Ba
0.3746 0.0035 0.8009 Zn
0.3746 0.4965 0.8009 Zn
0.6254 0.5035 0.1991 Zn
0.6254 0.9965 0.1991 Zn
0.2895 0.7500 0.0433 S
0.7105 0.2500 0.9567 S
0.1438 0.2500 0.6829 O
0.4262 0.7500 0.6348 O
0.5738 0.2500 0.3652 O
0.8562 0.7500 0.3171 O
```

**Theoretical density**: 4.56 Mg/m³
**Crystal system**: monoclinic
**Formation energy from raw total energies**: -145 kJ per mole of atoms
**M_tot**: 0.0 μB per formula unit
**Raw total energy**: -4.588 eV/atom



The following is a DFT calculation (GGA-PBE) of crystalline NiTeSe at its relaxed geometry.

```
NiTeSe
1.0
3.8304 0.0000 0.0000
0.0000 5.1355 0.0000
0.0000 0.0000 6.2527
Ni Te Se
2 2 2
direct
0.0000 0.2309 0.0000 Ni
0.5000 0.7691 0.5000 Ni
0.0000 0.4678 0.6291 Te
0.5000 0.5322 0.1291 Te
0.0000 0.0311 0.3670 Se
0.5000 0.9689 0.8670 Se
```

**Theoretical density**: 7.16 Mg/m³
**Crystal system**: orthorhombic
**Formation energy from raw total energies**: -21 kJ per mole of atoms
**M_tot**: 0.0 μB per formula unit
**Raw total energy**: -4.350 eV/atom



The following is a DFT calculation (GGA-PBE) of crystalline Ac4Sb3H2 at its relaxed geometry.

```
Ac4Sb3H2
1.0
6.6508 -5.4008 0.0000
6.6508 5.4008 0.0000
-1.4036 0.0000 7.8437
Ac Sb H
8 6 4
direct
0.0773 0.7202 0.9806 Ac
0.2596 0.4028 0.3924 Ac
0.2798 0.9227 0.5194 Ac
0.4028 0.2596 0.8924 Ac
0.5972 0.7404 0.1076 Ac
0.7202 0.0773 0.4806 Ac
0.7404 0.5972 0.6076 Ac
0.9227 0.2798 0.0194 Ac
0.0336 0.2671 0.6352 Sb
0.2671 0.0336 0.1352 Sb
0.3897 0.6103 0.7500 Sb
0.6103 0.3897 0.2500 Sb
0.7329 0.9664 0.8648 Sb
0.9664 0.7329 0.3648 Sb
0.1678 0.4325 0.0677 H
0.4325 0.1678 0.5677 H
0.5675 0.8322 0.4323 H
0.8322 0.5675 0.9323 H
```

**Theoretical density**: 7.52 Mg/m³
**Crystal system**: monoclinic
**M_tot**: 0.0 μB per formula unit
**Raw total energy**: -4.854 eV/atom